First-principles (PBE-GGA) data for a geometry-optimized DyCd2Ga2 structure, as listed in the Alexandria database.

Structure (extended XYZ):
```
10
Lattice="-2.132 2.148 11.702 2.132 -2.148 11.702 2.132 2.148 -11.702" Properties=species:S:1:pos:R:3 pbc="T T T"
Dy 0.000 1.074 1.798
Dy 2.132 1.074 9.904
Cd 2.132 -1.074 7.016
Cd 2.132 1.074 4.721
Cd 0.000 1.074 6.980
Cd 0.000 3.221 4.686
Ga 2.132 1.074 -2.983
Ga 2.132 1.074 -0.577
Ga 0.000 1.074 12.278
Ga 0.000 1.074 14.685
```

Density of states at the Fermi level in states/eV per cell: 2.42
Energy of formation from the pure elements in eV per atom: -0.33
Raw total energy in eV per formula unit: -14.142
Crystal system: orthorhombic